1.
Li2PmNpF8 after structural relaxation. Source: Alexandria via LeMat-Bulk, functional PBE-GGA.

Calculated values
**Raw total energy**: -6.553 eV per atom
**Formation energy from raw total energies**: -3512.2 meV per atom
**Symmetry**: No. 82
**Crystal system**: tetragonal

Cell: 5.342 5.342 6.837 Å, 112.99 112.99 90.00°
Site moments in Bohr magnetons follow the coordinates.
Positions (direct):
F (0.334, 0.945, 0.340)  0.00
F (0.691, 0.258, 0.831)  0.00
F (0.605, 0.666, 0.660)  0.00
F (0.055, 0.995, 0.660)  0.00
F (0.005, 0.395, 0.340)  0.00
F (0.742, 0.860, 0.169)  0.00
F (0.140, 0.574, 0.831)  0.00
F (0.426, 0.309, 0.169)  0.00
Pm (0.750, 0.250, 0.500)  0.00
Li (0.250, 0.750, 0.500)  0.00
Li (0.500, 0.500, 0.000)  0.00
Np (0.000, 0.000, 0.000)  3.95



2.
YMg2TeN after structural relaxation. Source: Alexandria via LeMat-Bulk, functional PBE-GGA.

Calculated values
**Raw total energy**: -3.696 eV per atom
**Formation energy from raw total energies**: 528.5 meV per atom
**Symmetry**: No. 123
**Crystal system**: tetragonal

Cell: 6.136 4.061 6.136 Å, 90.00 90.00 90.00°
Positions (direct):
Mg (0.500, 0.000, 0.000)
Mg (0.000, 0.000, 0.500)
Y (0.000, 0.000, 0.000)
Te (0.500, 0.500, 0.500)
N (0.000, 0.500, 0.000)



3.
Ba2BiAu3 after structural relaxation. Source: Alexandria via LeMat-Bulk, functional PBE-GGA.

Calculated values
**Raw total energy**: -3.656 eV per atom
**ΔE_f**: -0.7298 eV per atom
**Symmetry**: No. 69
**Crystal system**: orthorhombic

Cell: 6.677 6.677 9.722 Å, 107.94 107.94 95.92°
Positions (direct):
Au (0.165, 0.165, 0.330)
Au (0.835, 0.835, 0.670)
Au (0.327, 0.836, 0.163)
Au (0.164, 0.673, 0.837)
Au (0.836, 0.327, 0.163)
Au (0.673, 0.164, 0.837)
Ba (0.750, 0.250, 0.500)
Ba (0.250, 0.750, 0.500)
Ba (0.764, 0.764, 0.000)
Ba (0.236, 0.236, 0.000)
Bi (0.336, 0.336, 0.671)
Bi (0.664, 0.664, 0.329)



4.
Ce5Sn after structural relaxation. Source: Alexandria via LeMat-Bulk, functional PBE-GGA.

Calculated values
**Raw total energy**: -5.825 eV per atom
**E above lowest polymorph**: 0.000 eV/atom
**ΔE_f**: -0.2131 eV per atom
**Symmetry**: No. 65
**Crystal system**: orthorhombic

Cell: 5.197 4.251 7.355 Å, 106.80 90.00 90.00°
Site moments in Bohr magnetons follow the coordinates.
Positions (direct):
Ce (0.500, 0.851, 0.701)  0.24
Ce (0.500, 0.149, 0.299)  0.24
Ce (0.000, 0.683, 0.365)  0.17
Ce (0.500, 0.500, 0.000)  0.20
Ce (0.000, 0.317, 0.635)  0.17
Sn (0.000, 0.000, 0.000)  -0.01